--- w ---
Below is a relaxed Li3Sn2P3O12 crystal, with properties calculated at the GGA-PBEsol level.

Properties
Symmetry = P2_1/c (14)

abc: 8.6110 8.7992 12.9499
angles: 90.00 92.08 90.00
Sites, in units of the cell vectors:
Li1 0.9155 0.1104 0.3122
Li2 0.8523 0.7258 0.2517
Li3 0.8161 0.7748 0.8367
Li4 0.6839 0.2748 0.6633
Li5 0.6477 0.2258 0.2483
Li6 0.5845 0.6104 0.1878
Li7 0.4155 0.3896 0.8122
Li8 0.3523 0.7742 0.7517
Li9 0.3161 0.7252 0.3367
Li10 0.1839 0.2252 0.1633
Li11 0.1477 0.2742 0.7483
Li12 0.0845 0.8896 0.6878
Sn1 0.7750 0.0329 0.0712
Sn2 0.7491 0.9434 0.5967
Sn3 0.7509 0.4434 0.9033
Sn4 0.7250 0.5329 0.4288
Sn5 0.2750 0.4671 0.5712
Sn6 0.2491 0.5566 0.0967
Sn7 0.2509 0.0566 0.4033
Sn8 0.2250 0.9671 0.9288
P1 0.9520 0.2413 0.5171
P2 0.8932 0.4089 0.1496
P3 0.8871 0.0998 0.8272
P4 0.6068 0.9089 0.3504
P5 0.6129 0.5998 0.6728
P6 0.5480 0.7413 0.9829
P7 0.4520 0.2587 0.0171
P8 0.3871 0.4002 0.3272
P9 0.3932 0.0911 0.6496
P10 0.1129 0.9002 0.1728
P11 0.1068 0.5911 0.8504
P12 0.0480 0.7587 0.4829
O1 0.9638 0.8713 0.5566
O2 0.9476 0.8461 0.1458
O3 0.9480 0.7172 0.3885
O4 0.9284 0.5535 0.8364
O5 0.9072 0.3757 0.4473
O6 0.8901 0.0083 0.7239
O7 0.8706 0.2651 0.2129
O8 0.8652 0.3680 0.0315
O9 0.8257 0.9829 0.9048
O10 0.7919 0.5395 0.1833
O11 0.7970 0.1625 0.5486
O12 0.7787 0.2430 0.8139
O13 0.7213 0.7430 0.6861
O14 0.7081 0.0395 0.3167
O15 0.7030 0.6625 0.9514
O16 0.6743 0.4829 0.5952
O17 0.6348 0.8680 0.4685
O18 0.6294 0.7651 0.2871
O19 0.6099 0.5083 0.7761
O20 0.5928 0.8757 0.0527
O21 0.5520 0.2172 0.1115
O22 0.5716 0.0535 0.6636
O23 0.5524 0.3461 0.3542
O24 0.5362 0.3713 0.9434
O25 0.4638 0.6287 0.0566
O26 0.4476 0.6539 0.6458
O27 0.4284 0.9465 0.3364
O28 0.4480 0.7828 0.8885
O29 0.4072 0.1243 0.9473
O30 0.3901 0.4917 0.2239
O31 0.3706 0.2349 0.7129
O32 0.3652 0.1320 0.5315
O33 0.3257 0.5171 0.4048
O34 0.2970 0.3375 0.0486
O35 0.2919 0.9605 0.6833
O36 0.2787 0.2570 0.3139
O37 0.2213 0.7570 0.1861
O38 0.2030 0.8375 0.4514
O39 0.2081 0.4605 0.8167
O40 0.1743 0.0171 0.0952
O41 0.1348 0.6320 0.9685
O42 0.1294 0.7349 0.7871
O43 0.1099 0.9917 0.2761
O44 0.0928 0.6243 0.5527
O45 0.0716 0.4465 0.1636
O46 0.0520 0.2828 0.6115
O47 0.0524 0.1539 0.8542
O48 0.0362 0.1287 0.4434

---

--- x ---
Below is a relaxed Li3Sn2P3O12 crystal, with properties calculated at the GGA-PBEsol level.

Properties
Symmetry = P2/c (13)

abc: 8.9802 9.0403 12.1476
angles: 90.00 91.05 90.00
Sites, in units of the cell vectors:
Li1 0.2950 0.2031 0.8865
Li2 0.5000 0.5987 0.7500
Li3 0.7050 0.2031 0.6135
Li4 0.5000 0.5000 0.5000
Li5 0.0000 0.0000 0.5000
Li6 0.2950 0.7969 0.3865
Li7 0.0000 0.8331 0.7500
Li8 0.5000 0.4013 0.2500
Li9 0.0000 0.1669 0.2500
Li10 0.0000 0.0000 0.0000
Li11 0.5000 0.5000 0.0000
Li12 0.7050 0.7969 0.1135
Sn1 0.2978 0.9958 0.6387
Sn2 0.1659 0.5125 0.8286
Sn3 0.7022 0.9958 0.8613
Sn4 0.1659 0.4875 0.3286
Sn5 0.2978 0.0042 0.1387
Sn6 0.8341 0.5125 0.6714
Sn7 0.7022 0.0042 0.3613
Sn8 0.8341 0.4875 0.1714
P1 0.5000 0.2820 0.7500
P2 0.3471 0.8478 0.8908
P3 0.1986 0.6612 0.5902
P4 0.3471 0.1522 0.3908
P5 0.8014 0.6612 0.9098
P6 0.0000 0.1463 0.7500
P7 0.6529 0.8478 0.6092
P8 0.1986 0.3388 0.0902
P9 0.8014 0.3388 0.4098
P10 0.6529 0.1522 0.1092
P11 0.5000 0.7180 0.2500
P12 0.0000 0.8537 0.2500
O1 0.1132 0.2361 0.8146
O2 0.9582 0.6845 0.8642
O3 0.0707 0.0372 0.6611
O4 0.4416 0.3724 0.8469
O5 0.6342 0.1807 0.7838
O6 0.3834 0.6838 0.8956
O7 0.2513 0.8973 0.9903
O8 0.3658 0.1807 0.7162
O9 0.7958 0.5510 0.0049
O10 0.2513 0.1027 0.4903
O11 0.9293 0.0372 0.8389
O12 0.3135 0.6134 0.6768
O13 0.9582 0.3155 0.3642
O14 0.4834 0.9530 0.8864
O15 0.2505 0.8863 0.7857
O16 0.5584 0.3724 0.6531
O17 0.6865 0.6134 0.8232
O18 0.2505 0.1137 0.2857
O19 0.2457 0.8180 0.5413
O20 0.2042 0.5510 0.4951
O21 0.4834 0.0470 0.3864
O22 0.8868 0.2361 0.6854
O23 0.7543 0.8180 0.9587
O24 0.3834 0.3162 0.3956
O25 0.6166 0.6838 0.6044
O26 0.2457 0.1820 0.0413
O27 0.5166 0.9530 0.6136
O28 0.1132 0.7639 0.3146
O29 0.7958 0.4490 0.5049
O30 0.7543 0.1820 0.4587
O31 0.3135 0.3866 0.1768
O32 0.7495 0.8863 0.7143
O33 0.4416 0.6276 0.3469
O34 0.7495 0.1137 0.2143
O35 0.0418 0.6845 0.6358
O36 0.5166 0.0470 0.1136
O37 0.6865 0.3866 0.3232
O38 0.0707 0.9628 0.1611
O39 0.7487 0.8973 0.5097
O40 0.2042 0.4490 0.9951
O41 0.6342 0.8193 0.2838
O42 0.6166 0.3162 0.1044
O43 0.7487 0.1027 0.0097
O44 0.3658 0.8193 0.2162
O45 0.5584 0.6276 0.1531
O46 0.9293 0.9628 0.3389
O47 0.0418 0.3155 0.1358
O48 0.8868 0.7639 0.1854

---

--- y ---
Below is a relaxed Li3Sn2P3O12 crystal, with properties calculated at the GGA-PBEsol level.

Properties
Symmetry = C2/m (12)

abc: 4.9816 4.9816 20.0818
angles: 90.22 90.22 66.68
Sites, in units of the cell vectors:
Li1 0.0043 0.0043 0.6516
Li2 0.3313 0.3313 0.4124
Li3 0.3352 0.3352 0.7239
Li4 0.6648 0.6648 0.2761
Li5 0.9957 0.9957 0.3484
Li6 0.6687 0.6687 0.5876
Sn1 0.0000 0.0000 0.0000
Sn2 0.0054 0.0054 0.8188
Sn3 0.9946 0.9946 0.1812
Sn4 0.0000 0.0000 0.5000
P1 0.3433 0.3433 0.2567
P2 0.3615 0.3615 0.8950
P3 0.3595 0.3595 0.5831
P4 0.6385 0.6385 0.1050
P5 0.6405 0.6405 0.4169
P6 0.6567 0.6567 0.7433
O1 0.7064 0.2393 0.8928
O2 0.6890 0.2370 0.2534
O3 0.6986 0.2486 0.5908
O4 0.7607 0.2936 0.1072
O5 0.7514 0.3014 0.4092
O6 0.7630 0.3110 0.7466
O7 0.7308 0.7308 0.0406
O8 0.7629 0.7629 0.3604
O9 0.7563 0.7563 0.6816
O10 0.2554 0.2554 0.8304
O11 0.2692 0.2692 0.9594
O12 0.2389 0.2389 0.1927
O13 0.7611 0.7611 0.8073
O14 0.7446 0.7446 0.1696
O15 0.2437 0.2437 0.3184
O16 0.7159 0.7159 0.4871
O17 0.2841 0.2841 0.5129
O18 0.2371 0.2371 0.6396
O19 0.2936 0.7607 0.1072
O20 0.3110 0.7630 0.7466
O21 0.3014 0.7514 0.4092
O22 0.2393 0.7064 0.8928
O23 0.2486 0.6986 0.5908
O24 0.2370 0.6890 0.2534

---

--- z ---
Below is a relaxed Li3Sn2P3O12 crystal, with properties calculated at the GGA-PBEsol level.

Properties
Symmetry = R-3 (148)

abc: 8.3869 8.3869 10.4926
angles: 66.44 66.44 60.00
Sites, in units of the cell vectors:
Li1 0.7747 0.3710 0.7774
Li2 0.6290 0.9231 0.2226
Li3 0.0769 0.7747 0.7774
Li4 0.2253 0.6290 0.2226
Li5 0.9231 0.2253 0.2226
Li6 0.3710 0.0769 0.7774
Sn1 0.3347 0.3347 0.9960
Sn2 0.1725 0.1725 0.4825
Sn3 0.8275 0.8275 0.5175
Sn4 0.6653 0.6653 0.0040
P1 0.9472 0.5301 0.2211
P2 0.6985 0.0528 0.7789
P3 0.0528 0.4699 0.7789
P4 0.3015 0.9472 0.2211
P5 0.5301 0.3015 0.2211
P6 0.4699 0.6985 0.7789
O1 0.8440 0.7107 0.2700
O2 0.5285 0.2048 0.1193
O3 0.0230 0.6558 0.6570
O4 0.2893 0.8247 0.7300
O5 0.4903 0.1522 0.8651
O6 0.3442 0.3359 0.3430
O7 0.5075 0.5097 0.1349
O8 0.1560 0.2893 0.7300
O9 0.7952 0.8526 0.8807
O10 0.8247 0.1560 0.7300
O11 0.1474 0.5285 0.1193
O12 0.7107 0.1753 0.2700
O13 0.8478 0.5075 0.1349
O14 0.2048 0.1474 0.1193
O15 0.6558 0.6641 0.6570
O16 0.5097 0.8478 0.1349
O17 0.4925 0.4903 0.8651
O18 0.4715 0.7952 0.8807
O19 0.8526 0.4715 0.8807
O20 0.6641 0.0230 0.6570
O21 0.3359 0.9770 0.3430
O22 0.1522 0.4925 0.8651
O23 0.1753 0.8440 0.2700
O24 0.9770 0.3442 0.3430

---

Pick the least stable structure from those above. Pick: y